[1]
VASP calculation (PBE-GGA) on crystalline LiPm5Ge4 at its relaxed geometry.

Unit cell a=9.4421 b=9.4421 c=6.1219 alpha=90.00 beta=90.00 gamma=90.00
Closest atoms and distances in Å follow each position.
Space group I4 (No. 79)
Unique sites:
Li 0.0000 0.0000 0.0000  1 Pm 2.73
Pm 0.0000 0.0000 0.5534  1 Li 2.73, 4 Ge 3.04
Pm 0.1004 0.3137 0.2099  5 Ge 2.94-3.10
Ge 0.1036 0.2868 0.7140  6 Pm 2.94-3.10

Its total energy is -99.11 eV per cell. As for the spin magnetization: 0.00 μB/f.u. The calculation puts the energy relative to the elements at -52.3 kJ/mol of atoms. The crystal system is tetragonal.

***

[2]
VASP calculation (PBE-GGA) on crystalline PmHo2Bi4 at its relaxed geometry.

Unit cell a=4.5227 b=11.3901 c=17.0968 alpha=90.00 beta=90.00 gamma=90.00
Closest atoms and distances in Å follow each position.
Space group Cmcm (No. 63)
Unique sites:
Pm 0.0000 0.0548 0.2500  7 Bi 3.29-3.35
Ho 0.0000 0.3404 0.0744  6 Bi 3.00-3.32
Bi 0.0000 0.0000 0.0000  4 Ho 3.17, 4 Bi 3.50
Bi 0.0000 0.3456 0.2500  2 Ho 3.00, 3 Pm 3.29-3.31
Bi 0.0000 0.3498 0.6198  4 Ho 3.23-3.61, 2 Pm 3.35, 2 Bi 3.50

Its total energy is -135.03 eV per cell. As for the spin magnetization: 0.00 μB/f.u. The calculation puts the energy relative to the elements at -59.7 kJ/mol of atoms. The crystal system is orthorhombic.

***

Look up the energy relative to the elements of the first one. -52.3 kJ/mol of atoms